# ReC3 GGA-PBE optimized geometry
data_ReC3
_space_group_name_H-M_alt 'C 1 2/m 1'
_space_group_IT_number 12
_space_group_name_Hall '-C 2y'
_cell_length_a 5.104
_cell_length_b 2.933
_cell_length_c 5.595
_cell_angle_alpha 90.00
_cell_angle_beta 107.92
_cell_angle_gamma 90.00
loop_
_atom_site_label
_atom_site_type_symbol
_atom_site_fract_x
_atom_site_fract_y
_atom_site_fract_z
Re1 Re 0.000 0.000 0.000
C1 C 0.000 0.500 0.500
C2 C 0.082 0.500 0.746
# Fermi-level density of states, states/eV per atom: 0.603
# Energy of formation from the pure elements, eV per atom: 0.83
# ΔE to the lowest computed polymorph, meV per atom: 0